Entry 1:
10
Lattice="-2.585 0.664 7.771 6.963 -3.493 2.615 4.691 3.860 5.575" Properties=species:S:1:pos:R:3 comment="Cs2SiAuI6 (PBE, relaxed)" magmom_total_mub_per_atom=0.00 crystal_system=tetragonal e_form_raw_mev_per_atom=-674 dos_ef_per_ev_atom=0.1555 pbc="T T T"
Cs 2.147 1.554 9.269
Cs 6.921 -0.524 6.691
I 3.402 1.143 5.378
I 5.666 -0.113 10.582
I 1.121 -0.725 2.660
I 3.256 -2.104 7.725
I -0.140 -0.401 6.450
I 4.517 -2.428 3.936
Si 2.189 -1.414 5.193
Au 0.000 0.000 0.000



Entry 2:
10
Lattice="-2.943 1.301 8.049 -1.010 -7.915 2.763 4.435 -3.318 7.733" Properties=species:S:1:pos:R:3 comment="Cs2SmAuI6 (PBE, relaxed)" magmom_total_mub_per_atom=0.00 crystal_system=triclinic e_form_raw_mev_per_atom=-1177 dos_ef_per_ev_atom=0.0000 pbc="T T T"
Cs -0.232 -2.662 10.589
Cs 0.713 -7.271 7.956
Sm 0.000 0.000 0.000
Au -1.976 -3.307 5.406
I 1.528 -3.325 6.696
I 1.227 -7.877 16.444
I -1.863 -5.909 5.112
I 2.345 -4.024 13.433
I -0.745 -2.056 2.102
I -1.047 -6.608 11.849



Entry 3:
15
Lattice="8.410 0.000 0.000 -4.205 7.283 0.000 0.000 0.000 10.344" Properties=species:S:1:pos:R:3 comment="Cs3SnAu2I9 (PBE, relaxed)" magmom_total_mub_per_atom=0.00 crystal_system=trigonal e_form_raw_mev_per_atom=-743 dos_ef_per_ev_atom=0.2979 pbc="T T T"
Cs 0.000 4.856 6.953
Cs 0.000 0.000 0.000
Cs 4.205 2.428 3.391
Sn 0.000 0.000 5.172
Au 0.000 4.856 1.603
Au 4.205 2.428 8.742
I 6.260 1.241 6.941
I 4.205 4.801 6.941
I 2.150 1.241 6.941
I 2.055 6.042 3.404
I 0.000 2.483 3.404
I -2.055 6.042 3.404
I 4.205 0.000 0.000
I -2.103 3.642 0.000
I 2.103 3.642 0.000



Entry 4:
11
Lattice="-2.263 6.341 5.930 5.179 -6.445 2.081 3.661 6.680 -5.745" Properties=species:S:1:pos:R:3 comment="Cs2SnAu2I6 (PBE, relaxed)" magmom_total_mub_per_atom=0.00 crystal_system=monoclinic e_form_raw_mev_per_atom=-693 pbc="T T T"
Cs 1.671 3.265 3.934
Cs 4.906 3.310 -1.668
Sn 0.699 6.510 0.092
Au 5.691 5.066 3.542
Au 0.886 1.509 -1.276
I 3.321 5.924 1.720
I 4.951 -3.043 2.229
I 2.599 6.896 -2.509
I 1.627 9.619 0.037
I 3.979 -0.320 4.776
I 3.257 0.651 0.546



Entry 5:
18
Lattice="-4.700 -0.487 0.585 1.905 -6.392 -9.391 2.443 -12.640 9.098" Properties=species:S:1:pos:R:3 comment="Cs2SnAuI5 (PBE, relaxed)" magmom_total_mub_per_atom=0.00 crystal_system=orthorhombic e_form_raw_mev_per_atom=-868 dos_ef_per_ev_atom=0.0000 pbc="T T T"
Cs -0.635 -15.952 0.986
Cs 1.646 -10.822 4.207
Cs 0.729 -5.873 0.966
Cs -2.141 -7.954 -4.450
Sn -1.333 -10.803 -0.332
Sn -0.122 -3.007 -3.485
Au -0.150 -12.238 7.973
Au 0.594 -11.398 -4.718
I -0.230 -4.869 -5.900
I -0.376 -14.198 4.525
I 1.384 -16.067 -2.261
I 1.351 -12.393 0.528
I -1.528 -12.559 -3.361
I -1.200 -9.073 2.177
I 0.680 -8.711 -1.793
I -1.746 -3.402 2.517
I -2.128 -4.925 -1.820
I -0.042 -0.657 -0.883



Entry 6:
5
Lattice="5.959 0.000 0.000 0.000 6.855 0.000 0.000 0.000 5.959" Properties=species:S:1:pos:R:3 comment="CsSnAu2I (PBE, relaxed)" magmom_total_mub_per_atom=0.06 crystal_system=tetragonal e_form_raw_mev_per_atom=822 dos_ef_per_ev_atom=0.9561 pbc="T T T"
Cs 0.000 0.000 0.000
I 0.000 3.428 0.000
Au 0.000 0.000 2.980
Au 2.980 0.000 0.000
Sn 2.980 3.428 2.980